(1)
This record from the Alexandria database describes a relaxed structure of YNiHgGe2. The functional is PBE.

Values from the calculation:
mass density: 5.71 g/cm³
E_form: 5.1 eV/f.u.
E: -3.33 eV/atom

Lattice parameters (Å, degrees): 5.039 5.039 5.646 90.00 90.00 90.00
Space group P4/mmm (No. 123)
One atom of each set of equivalent atoms:
Y  0.000  0.000  0.000
Ni  0.500  0.500  0.000
Hg  0.000  0.000  0.500
Ge  0.000  0.500  0.500



(2)
This record from the Alexandria database describes a relaxed structure of NpHgGe. The functional is PBE.

Values from the calculation:
mass density: 12.97 g/cm³
E_form: 0.2 eV/f.u.
E: -5.88 eV/atom

Lattice parameters (Å, degrees): 5.0908 5.0908 2.9102 90.00 90.00 120.00
Space group P-6m2 (No. 187)
One atom of each set of equivalent atoms:
Np  0.0000  0.0000  0.0000
Hg  0.3333  0.6667  0.5000
Ge  0.6667  0.3333  0.5000



(3)
This record from the Alexandria database describes a relaxed structure of NpHgGeO6. The functional is PBE.

Values from the calculation:
mass density: 8.17 g/cm³
formation energy from raw total energies: -1.69 eV/atom
E: -6.98 eV/atom

Lattice parameters (Å, degrees): 5.3393 5.3393 9.9864 90.00 90.00 120.00
Space group P-31c (No. 163)
One atom of each set of equivalent atoms:
Np  0.3333  0.6667  0.2500
Hg  0.0000  0.0000  0.0000
Ge  0.3333  0.6667  0.7500
O  0.0216  0.3753  0.6425